Record 1
The following is a DFT calculation (PBE) of crystalline TiTcRh2 at its relaxed geometry.

Calculated values
E_tot = -65.135 eV for the cell shown
energy of formation from the pure elements = 0.099 eV/atom
energy relative to the lowest polymorph listed for this composition = 0.519 eV per atom

Cell: 9.234 9.234 9.234 Å, 156.36 156.36 33.68°
Sites, in units of the cell vectors:
Ti  0.000  0.000  0.000
Ti  0.750  0.250  0.500
Tc  0.250  0.750  0.500
Tc  0.500  0.500  0.000
Rh  0.125  0.625  0.000
Rh  0.375  0.375  0.500
Rh  0.625  0.125  0.000
Rh  0.875  0.875  0.500

Record 2
The following is a DFT calculation (PBE) of crystalline Ti4TcRh at its relaxed geometry.

Calculated values
E_tot = -52.164 eV for the cell shown
energy of formation from the pure elements = -0.478 eV/atom
energy relative to the lowest polymorph listed for this composition = 0.000 eV per atom

Cell: 3.114 3.114 9.608 Å, 90.00 90.00 90.00°
Sites, in units of the cell vectors:
Ti  0.000  0.000  0.155
Ti  0.000  0.000  0.845
Ti  0.500  0.500  0.339
Ti  0.500  0.500  0.661
Tc  0.500  0.500  0.000
Rh  0.000  0.000  0.500

Record 3
The following is a DFT calculation (PBE) of crystalline Ti2TcRh2 at its relaxed geometry.

Calculated values
E_tot = -40.884 eV for the cell shown
energy of formation from the pure elements = -0.005 eV/atom
energy relative to the lowest polymorph listed for this composition = 0.394 eV per atom

Cell: 7.014 7.014 7.014 Å, 150.82 150.82 41.73°
Sites, in units of the cell vectors:
Ti  0.103  0.103  0.000
Ti  0.897  0.897  0.000
Tc  0.500  0.500  0.000
Rh  0.250  0.750  0.500
Rh  0.750  0.250  0.500

Record 4
The following is a DFT calculation (PBE) of crystalline TiTcRh2 at its relaxed geometry.

Calculated values
E_tot = -34.642 eV for the cell shown
energy of formation from the pure elements = -0.420 eV/atom
energy relative to the lowest polymorph listed for this composition = 0.000 eV per atom

Cell: 3.895 3.895 3.825 Å, 90.00 90.00 90.00°
Sites, in units of the cell vectors:
Ti  0.000  0.000  0.000
Tc  0.500  0.500  0.000
Rh  0.000  0.500  0.500
Rh  0.500  0.000  0.500

Record 5
The following is a DFT calculation (PBE) of crystalline Ti4TcRh2 at its relaxed geometry.

Calculated values
E_tot = -59.962 eV for the cell shown
energy of formation from the pure elements = -0.473 eV/atom

Cell: 5.312 5.312 5.312 Å, 109.28 109.28 109.86°
Sites, in units of the cell vectors:
Ti  0.000  0.000  0.500
Ti  0.000  0.500  0.000
Ti  0.500  0.000  0.000
Ti  0.500  0.500  0.500
Tc  0.000  0.000  0.000
Rh  0.000  0.500  0.500
Rh  0.500  0.000  0.500

Record 6
The following is a DFT calculation (PBE) of crystalline Ti2TcRh9 at its relaxed geometry.

Calculated values
E_tot = -97.708 eV for the cell shown
energy of formation from the pure elements = -0.449 eV/atom

Cell: 3.845 3.845 11.595 Å, 90.00 90.00 90.00°
Sites, in units of the cell vectors:
Ti  0.000  0.000  0.161
Ti  0.000  0.000  0.839
Tc  0.000  0.000  0.500
Rh  0.000  0.500  0.000
Rh  0.000  0.500  0.337
Rh  0.000  0.500  0.663
Rh  0.500  0.000  0.000
Rh  0.500  0.000  0.337
Rh  0.500  0.000  0.663
Rh  0.500  0.500  0.168
Rh  0.500  0.500  0.500
Rh  0.500  0.500  0.832

Record 7
The following is a DFT calculation (PBE) of crystalline Ti6TcRh5 at its relaxed geometry.

Calculated values
E_tot = -103.376 eV for the cell shown
energy of formation from the pure elements = -0.740 eV/atom

Cell: 7.574 7.574 7.574 Å, 146.65 130.65 60.87°
Sites, in units of the cell vectors:
Ti  0.083  0.335  0.747
Ti  0.244  0.000  0.244
Ti  0.412  0.665  0.747
Ti  0.588  0.335  0.253
Ti  0.756  0.000  0.756
Ti  0.917  0.665  0.253
Tc  0.000  0.500  0.500
Rh  0.169  0.169  0.000
Rh  0.334  0.834  0.500
Rh  0.500  0.500  0.000
Rh  0.666  0.166  0.500
Rh  0.831  0.831  0.000

Record 8
The following is a DFT calculation (PBE) of crystalline Ti2TcRh at its relaxed geometry.

Calculated values
E_tot = -67.380 eV for the cell shown
energy of formation from the pure elements = -0.046 eV/atom
energy relative to the lowest polymorph listed for this composition = 0.696 eV per atom

Cell: 5.547 5.547 5.547 Å, 104.99 104.99 118.86°
Sites, in units of the cell vectors:
Ti  0.123  0.125  0.498
Ti  0.375  0.877  0.002
Ti  0.627  0.625  0.502
Ti  0.875  0.373  0.998
Tc  0.250  0.750  0.500
Tc  0.500  0.500  0.000
Rh  0.000  0.000  0.000
Rh  0.750  0.250  0.500

Record 9
The following is a DFT calculation (PBE) of crystalline Ti6Tc5Rh at its relaxed geometry.

Calculated values
E_tot = -113.605 eV for the cell shown
energy of formation from the pure elements = -0.588 eV/atom

Cell: 7.610 7.610 7.610 Å, 146.48 131.98 59.83°
Sites, in units of the cell vectors:
Ti  0.080  0.332  0.748
Ti  0.246  0.000  0.246
Ti  0.416  0.668  0.748
Ti  0.584  0.332  0.252
Ti  0.754  0.000  0.754
Ti  0.920  0.668  0.252
Tc  0.000  0.500  0.500
Tc  0.167  0.167  0.000
Tc  0.335  0.835  0.500
Tc  0.665  0.165  0.500
Tc  0.833  0.833  0.000
Rh  0.500  0.500  0.000

Record 10
The following is a DFT calculation (PBE) of crystalline Ti2TcRh at its relaxed geometry.

Calculated values
E_tot = -36.457 eV for the cell shown
energy of formation from the pure elements = -0.738 eV/atom
energy relative to the lowest polymorph listed for this composition = 0.004 eV per atom

Cell: 4.380 4.380 4.380 Å, 60.00 60.00 60.00°
Sites, in units of the cell vectors:
Ti  0.250  0.250  0.250
Ti  0.750  0.750  0.750
Tc  0.000  0.000  0.000
Rh  0.500  0.500  0.500

Record 11
The following is a DFT calculation (PBE) of crystalline Ti2TcRh at its relaxed geometry.

Calculated values
E_tot = -36.473 eV for the cell shown
energy of formation from the pure elements = -0.741 eV/atom
energy relative to the lowest polymorph listed for this composition = 0.000 eV per atom

Cell: 3.110 3.110 6.176 Å, 90.00 90.00 90.00°
Sites, in units of the cell vectors:
Ti  0.000  0.000  0.242
Ti  0.000  0.000  0.758
Tc  0.500  0.500  0.000
Rh  0.500  0.500  0.500

Record 12
The following is a DFT calculation (PBE) of crystalline Ti2TcRh2 at its relaxed geometry.

Calculated values
E_tot = -85.703 eV for the cell shown
energy of formation from the pure elements = -0.399 eV/atom
energy relative to the lowest polymorph listed for this composition = 0.000 eV per atom

Cell: 7.258 7.258 2.887 Å, 90.00 90.00 90.00°
Sites, in units of the cell vectors:
Ti  0.158  0.342  0.000
Ti  0.342  0.842  0.000
Ti  0.658  0.158  0.000
Ti  0.842  0.658  0.000
Tc  0.000  0.000  0.000
Tc  0.500  0.500  0.000
Rh  0.144  0.644  0.500
Rh  0.356  0.144  0.500
Rh  0.644  0.856  0.500
Rh  0.856  0.356  0.500